[1]
Density functional theory data (GGA-PBE) for a relaxed structure of TbSm2Ni4Ge4.

The value obtained for the electronic total energy is -5.676 eV per atom.

The structure belongs to space group Immm (No. 71); the cell edges are 4.1708, 6.7205 and 13.7523 Å and the angles 90.00°, 90.00° and 90.00°. The distinct sites, in fractional coordinates, are Tb at (0.0000, 0.0000, 0.0000), Sm at (0.0000, 0.5000, 0.1302), Ni at (0.0000, 0.3065, 0.3231), Ge at (0.0000, 0.0000, 0.2159) and Ge at (0.0000, 0.1958, 0.5000).

***

[2]
Density functional theory data (GGA-PBE) for a relaxed structure of Tb2SmNi4Ge4.

The value obtained for the electronic total energy is -5.700 eV per atom.

The structure belongs to space group Immm (No. 71); the cell edges are 4.1124, 6.7598 and 13.6356 Å and the angles 90.00°, 90.00° and 90.00°. The distinct sites, in fractional coordinates, are Tb at (0.0000, 0.0000, 0.1301), Sm at (0.0000, 0.5000, 0.0000), Ni at (0.0000, 0.1959, 0.3223), Ge at (0.0000, 0.3088, 0.5000) and Ge at (0.0000, 0.5000, 0.2177).

***

Please write out number 1 again, unchanged.
Density functional theory data (GGA-PBE) for a relaxed structure of TbSm2Ni4Ge4.

The value obtained for the electronic total energy is -5.676 eV per atom.

The structure belongs to space group Immm (No. 71); the cell edges are 4.1708, 6.7205 and 13.7523 Å and the angles 90.00°, 90.00° and 90.00°. The distinct sites, in fractional coordinates, are Tb at (0.0000, 0.0000, 0.0000), Sm at (0.0000, 0.5000, 0.1302), Ni at (0.0000, 0.3065, 0.3231), Ge at (0.0000, 0.0000, 0.2159) and Ge at (0.0000, 0.1958, 0.5000).

***

Question: Look up the electronic total energy of the first one.
Answer: -5.676 eV per atom